Dy2MgBe2Pd5: optimized geometry, PBE.

Values from the calculation:
The value obtained for the total DFT energy (no corrections) is -5.19 eV per atom.

Lattice parameters (Å, degrees): 3.471 9.697 9.697 90.00 90.00 90.00
Element x y z (fractional)
Be: 0.000 0.619 0.881
Be: 0.000 0.881 0.381
Be: 0.000 0.381 0.119
Be: 0.000 0.119 0.619
Pd: 0.500 0.931 0.218
Pd: 0.500 0.069 0.782
Pd: 0.500 0.718 0.431
Pd: 0.500 0.431 0.282
Pd: 0.500 0.282 0.569
Pd: 0.500 0.218 0.069
Pd: 0.500 0.500 0.000
Pd: 0.500 0.000 0.500
Pd: 0.500 0.569 0.718
Pd: 0.500 0.782 0.931
Mg: 0.000 0.500 0.500
Mg: 0.000 0.000 0.000
Dy: 0.000 0.323 0.823
Dy: 0.000 0.677 0.177
Dy: 0.000 0.823 0.677
Dy: 0.000 0.177 0.323